Entry w
Material: NaCr3O8
Method: DFT, GGA+U
State: optimized geometry

a b c (Å): 8.7002 5.5451 7.0182
angles (deg): 90.00 90.14 90.00
Closest atoms and distances in Å follow each position.
Space group C2/m (No. 12)
One atom of each set of equivalent atoms:
Na: 0.0000 0.0000 0.0000  6 O 2.46-2.50
Cr: 0.0000 0.0000 0.5000  6 O 1.99-2.01
Cr: 0.1427 0.5000 0.7242  4 O 1.61-1.70
O: 0.0324 0.2476 0.7046  1 Cr 1.70
O: 0.2222 0.5000 0.9322  1 Cr 1.61
O: 0.2239 0.0000 0.4444  1 Cr 1.66

---

Entry x
Material: NaCr3O8
Method: DFT, GGA+U
State: optimized geometry

a b c (Å): 6.6762 8.8259 5.5667
angles (deg): 90.00 90.00 90.00
Closest atoms and distances in Å follow each position.
Space group Pnnm (No. 58)
One atom of each set of equivalent atoms:
Na: 0.0000 0.0000 0.0000  6 O 2.24-2.41
Cr: 0.0000 0.5000 0.5000  6 O 2.02-2.05
Cr: 0.2092 0.3432 0.0000  4 O 1.60-1.70
O: 0.0009 0.2543 0.0000  1 Cr 1.60
O: 0.0991 0.7195 0.5000  1 Cr 1.68
O: 0.2116 0.4540 0.2508  1 Cr 1.70

---

Which structure wins on stability? entry w wins.

---

Entry w
Material: Na3CrO
Method: DFT, GGA+U
State: optimized geometry

a b c (Å): 4.7521 4.7521 4.7521
angles (deg): 90.00 90.00 90.00
Closest atoms and distances in Å follow each position.
Space group Pm-3m (No. 221)
One atom of each set of equivalent atoms:
Na: 0.0000 0.0000 0.5000  2 O 2.38
Cr: 0.5000 0.5000 0.5000  12 Na 3.36
O: 0.0000 0.0000 0.0000  6 Na 2.38

---

Entry x
Material: Na3CrO
Method: DFT, GGA+U
State: optimized geometry

a b c (Å): 5.5676 5.5676 5.5676
angles (deg): 90.00 90.00 90.00
Closest atoms and distances in Å follow each position.
Space group Pm-3m (No. 221)
One atom of each set of equivalent atoms:
Na: 0.0000 0.0000 0.5000  2 Cr 2.78
Cr: 0.0000 0.0000 0.0000  6 Na 2.78
O: 0.5000 0.5000 0.5000  12 Na 3.94

---

Which structure wins on stability? entry w wins.

---

Entry w
Material: NaCr3O
Method: DFT, GGA+U
State: optimized geometry

a b c (Å): 4.4688 4.4688 4.4688
angles (deg): 90.00 90.00 90.00
Closest atoms and distances in Å follow each position.
Space group Pm-3m (No. 221)
One atom of each set of equivalent atoms:
Na: 0.0000 0.0000 0.0000  12 Cr 3.16
Cr: 0.0000 0.5000 0.5000  2 O 2.23
O: 0.5000 0.5000 0.5000  6 Cr 2.23

---

Entry x
Material: NaCr3O
Method: DFT, GGA+U
State: optimized geometry

a b c (Å): 5.0974 5.0974 5.0974
angles (deg): 90.00 90.00 90.00
Closest atoms and distances in Å follow each position.
Space group Pm-3m (No. 221)
One atom of each set of equivalent atoms:
Na: 0.0000 0.0000 0.0000  6 Cr 2.55
Cr: 0.0000 0.0000 0.5000  2 Na 2.55
O: 0.5000 0.5000 0.5000  12 Cr 3.60

---

Which structure wins on stability? entry w wins.